KErPb2Br8, relaxed, DFT PBE-GGA; M_tot = 0.000 μB/cell; energy relative to the elements, uncorrected = -16.27 eV per formula unit
1.0
6.834 0.000 0.000
0.122 7.214 0.000
0.006 0.002 9.204
K Er Pb Br
1 1 2 8
Direct
0.000 0.000 0.000 K
0.000 0.000 0.500 Er
0.500 0.500 0.251 Pb
0.500 0.500 0.749 Pb
0.236 0.318 0.500 Br
0.237 0.847 0.717 Br
0.237 0.848 0.283 Br
0.269 0.365 0.000 Br
0.731 0.635 0.000 Br
0.763 0.152 0.717 Br
0.763 0.153 0.283 Br
0.764 0.682 0.500 Br



BaMgSi3, relaxed, DFT PBE-GGA; M_tot = 0.000 μB/cell; energy above the lowest structure with this stoichiometry = 6.166 eV/f.u.; energy relative to the elements, uncorrected = 8.30 eV per formula unit
1.0
5.614 0.000 0.000
0.000 5.614 0.000
0.000 0.000 5.614
Ba Mg Si
1 1 3
Direct
0.000 0.000 0.000 Ba
0.500 0.500 0.500 Mg
0.000 0.000 0.500 Si
0.000 0.500 0.000 Si
0.500 0.000 0.000 Si



MnPb2SCl, relaxed, DFT PBE-GGA; M_tot = 0.000 μB/cell; energy relative to the elements, uncorrected = 0.39 eV per formula unit
1.0
5.267 0.000 0.000
0.000 5.267 0.000
0.000 0.000 4.202
Mn Pb S Cl
1 2 1 1
Direct
0.000 0.000 0.000 Mn
0.000 0.500 0.000 Pb
0.500 0.000 0.000 Pb
0.500 0.500 0.500 S
0.000 0.000 0.500 Cl



LiNb2Cu2, relaxed, DFT PBE-GGA; DFT formation energy = 0.250 eV/atom; M_tot = 0.000 μB/cell; energy above the lowest structure with this stoichiometry = 0.000 eV/f.u.
1.0
7.933 0.000 0.000
0.000 7.933 0.000
0.000 0.000 2.646
Li Nb Cu
2 4 4
Direct
0.000 0.000 0.000 Li
0.500 0.500 0.000 Li
0.125 0.375 0.000 Nb
0.375 0.875 0.000 Nb
0.625 0.125 0.000 Nb
0.875 0.625 0.000 Nb
0.171 0.671 0.500 Cu
0.329 0.171 0.500 Cu
0.671 0.829 0.500 Cu
0.829 0.329 0.500 Cu



La2ZnRh, relaxed, DFT PBE-GGA; DFT formation energy = -0.456 eV/atom; M_tot = 0.000 μB/cell
1.0
3.565 -2.058 0.000
3.565 2.058 0.000
-2.367 0.000 7.814
La Zn Rh
2 1 1
Direct
0.237 0.237 0.210 La
0.763 0.763 0.790 La
0.000 0.000 0.500 Zn
0.500 0.500 0.000 Rh



Mg6CdGa, relaxed, DFT PBE-GGA; DFT formation energy = -0.049 eV/atom; M_tot = 0.000 μB/cell; energy above the lowest structure with this stoichiometry = 0.227 eV/f.u.
1.0
3.217 -4.228 0.000
3.217 4.228 0.000
-3.209 0.000 6.352
Mg Cd Ga
6 1 1
Direct
0.122 0.622 0.744 Mg
0.248 0.248 0.996 Mg
0.378 0.878 0.256 Mg
0.622 0.122 0.744 Mg
0.752 0.752 0.004 Mg
0.878 0.378 0.256 Mg
0.500 0.500 0.500 Cd
0.000 0.000 0.500 Ga



BaYMo2, relaxed, DFT PBE-GGA; DFT formation energy = 1.255 eV/atom; M_tot = 0.000 μB/cell; energy above the lowest structure with this stoichiometry = 3.286 eV/f.u.
1.0
5.063 0.000 0.000
0.000 5.063 0.000
0.000 0.000 3.590
Ba Y Mo
1 1 2
Direct
0.000 0.000 0.000 Ba
0.500 0.500 0.000 Y
0.000 0.500 0.500 Mo
0.500 0.000 0.500 Mo



AlInI2N, relaxed, DFT PBE-GGA; M_tot = 0.000 μB/cell; energy above the lowest structure with this stoichiometry = 0.000 eV/f.u.; energy relative to the elements, uncorrected = -0.12 eV per formula unit
1.0
6.252 0.000 0.000
0.000 6.252 0.000
0.000 0.000 3.509
Al In I N
1 1 2 1
Direct
0.000 0.000 0.000 Al
0.500 0.500 0.500 In
0.000 0.500 0.000 I
0.500 0.000 0.000 I
0.000 0.000 0.500 N